[1]
Computed, not measured: a crystal of CdReTcOs2 relaxed with PBEsol at the SCAN level of DFT.

Cell: 4.634 4.634 4.939 Å, 90.00 90.00 90.00°
Space group P4/mmm (No. 123)
Symmetry-distinct sites (fractional):
Cd (0.000, 0.000, 0.000) x1
Re (0.000, 0.000, 0.500) x1
Tc (0.500, 0.500, 0.000) x1
Os (0.000, 0.500, 0.500) x2

Calculated values
**Density of states at the Fermi level**: 0.82 states/eV/atom
**ΔH_f (0 K)**: 2.216 eV/atom

[2]
Computed, not measured: a crystal of TcBrCl relaxed with PBEsol at the SCAN level of DFT.

Cell: 3.025 5.781 14.222 Å, 90.00 90.00 90.00°
Space group Fmm2 (No. 42)
Symmetry-distinct sites (fractional):
Tc (0.000, 0.000, 0.000) x4
Br (0.000, 0.000, 0.638) x4
Cl (0.000, 0.000, 0.373) x4

Calculated values
**Density of states at the Fermi level**: 0.46 states/eV/atom
**VASP energy**: -20.76 eV per atom

[3]
Computed, not measured: a crystal of HfMgSi2 relaxed with PBEsol at the SCAN level of DFT.

Cell: 7.135 7.135 5.753 Å, 90.00 90.00 90.00°
Space group I-42d (No. 122)
Symmetry-distinct sites (fractional):
Hf (0.000, 0.000, 0.000) x4
Mg (0.000, 0.000, 0.500) x4
Si (0.242, 0.250, 0.625) x8

Calculated values
**Density of states at the Fermi level**: 0.42 states/eV/atom
**VASP energy**: -21.73 eV per atom

[4]
Computed, not measured: a crystal of K2CdPt relaxed with PBEsol at the SCAN level of DFT.

Cell: 2.923 4.461 8.456 Å, 90.00 90.00 90.00°
Space group Pmmm (No. 47)
Symmetry-distinct sites (fractional):
K (0.000, 0.000, 0.209) x2
Cd (0.500, 0.500, 0.500) x1
Pt (0.500, 0.500, 0.000) x1

Calculated values
**Density of states at the Fermi level**: 0.35 states/eV/atom
**ΔH_f (0 K)**: 0.061 eV/atom

[5]
Computed, not measured: a crystal of Ca2Br relaxed with PBEsol at the SCAN level of DFT.

Cell: 3.8956 3.8956 7.2775 Å, 90.00 90.00 120.00°
Space group P-3m1 (No. 164)
Symmetry-distinct sites (fractional):
Ca (0.3333, 0.6667, 0.2964) x2
Br (0.0000, 0.0000, 0.0000) x1

Calculated values
**Density of states at the Fermi level**: 0.48 states/eV/atom
**VASP energy**: -13.97 eV per atom

[6]
Computed, not measured: a crystal of K2Cr2O7 relaxed with PBEsol at the SCAN level of DFT.

Cell: 12.998 7.359 7.417 Å, 90.00 91.68 90.00°
Space group C2/c (No. 15)
Symmetry-distinct sites (fractional):
K (0.146, 0.143, 0.363) x8
Cr (0.103, 0.327, 0.868) x8
O (0.000, 0.433, 0.750) x4
O (0.059, 0.195, 0.024) x8
O (0.166, 0.203, 0.728) x8
O (0.177, 0.482, 0.954) x8

Calculated values
**Density of states at the Fermi level**: 0.00 states/eV/atom
**VASP energy**: -10.89 eV per atom

[7]
Computed, not measured: a crystal of P2PbSe relaxed with PBEsol at the SCAN level of DFT.

Cell: 5.512 5.512 5.557 Å, 90.00 90.00 90.00°
Space group I4/mmm (No. 139)
Symmetry-distinct sites (fractional):
P (0.000, 0.500, 0.000) x4
Pb (0.000, 0.000, 0.000) x2
Se (0.000, 0.000, 0.500) x2

Calculated values
**Density of states at the Fermi level**: 0.50 states/eV/atom
**VASP energy**: -28.81 eV per atom

[8]
Computed, not measured: a crystal of Sr4HgPb relaxed with PBEsol at the SCAN level of DFT.

Cell: 9.796 9.796 9.796 Å, 90.00 90.00 90.00°
Space group F-43m (No. 216)
Symmetry-distinct sites (fractional):
Sr (0.124, 0.124, 0.376) x16
Hg (0.000, 0.000, 0.000) x4
Pb (0.250, 0.250, 0.750) x4

Calculated values
**Density of states at the Fermi level**: 0.61 states/eV/atom
**ΔH_f (0 K)**: 0.228 eV/atom

[9]
Computed, not measured: a crystal of MoIrPb2 relaxed with PBEsol at the SCAN level of DFT.

Cell: 3.0487 3.0487 31.6018 Å, 90.00 90.00 120.00°
Space group R3m (No. 160, hexagonal axes)
Symmetry-distinct sites (fractional):
Mo (0.0000, 0.0000, 0.0000) x3
Ir (0.0000, 0.0000, 0.2724) x3
Pb (0.0000, 0.0000, 0.5275) x3
Pb (0.0000, 0.0000, 0.7466) x3

Calculated values
**Density of states at the Fermi level**: 0.82 states/eV/atom
**ΔH_f (0 K)**: 0.467 eV/atom

[10]
Computed, not measured: a crystal of RbZn2Sn2 relaxed with PBEsol at the SCAN level of DFT.

Cell: 4.682 4.682 11.620 Å, 90.00 90.00 90.00°
Space group I4/mmm (No. 139)
Symmetry-distinct sites (fractional):
Rb (0.000, 0.000, 0.000) x2
Zn (0.000, 0.500, 0.250) x4
Sn (0.000, 0.000, 0.374) x4

Calculated values
**Density of states at the Fermi level**: 0.33 states/eV/atom
**ΔH_f (0 K)**: -0.142 eV/atom

[11]
Computed, not measured: a crystal of Cd2BIr2 relaxed with PBEsol at the SCAN level of DFT.

Cell: 5.706 5.706 4.652 Å, 90.00 90.00 90.00°
Space group P4/mbm (No. 127)
Symmetry-distinct sites (fractional):
Cd (0.167, 0.333, 0.000) x4
B (0.000, 0.000, 0.500) x2
Ir (0.162, 0.662, 0.500) x4

Calculated values
**Density of states at the Fermi level**: 0.47 states/eV/atom
**ΔH_f (0 K)**: -0.093 eV/atom

[12]
Computed, not measured: a crystal of YFeCl2 relaxed with PBEsol at the SCAN level of DFT.

Cell: 3.191 3.191 9.592 Å, 90.00 90.00 90.00°
Space group P4/mmm (No. 123)
Symmetry-distinct sites (fractional):
Y (0.000, 0.000, 0.000) x1
Fe (0.000, 0.000, 0.500) x1
Cl (0.500, 0.500, 0.166) x2

Calculated values
**Density of states at the Fermi level**: 1.00 states/eV/atom
**VASP energy**: -16.19 eV per atom

[13]
Computed, not measured: a crystal of GaTeCl2 relaxed with PBEsol at the SCAN level of DFT.

Cell: 10.771 10.771 10.771 Å, 90.00 90.00 90.00°
Space group Fd-3m (No. 227, origin choice 2)
Symmetry-distinct sites (fractional):
Ga (0.125, 0.125, 0.125) x8
Te (0.125, 0.125, 0.625) x8
Cl (0.000, 0.000, 0.000) x16

Calculated values
**Density of states at the Fermi level**: 0.92 states/eV/atom
**VASP energy**: -17.48 eV per atom

[14]
Computed, not measured: a crystal of KMg3 relaxed with PBEsol at the SCAN level of DFT.

Cell: 3.228 4.501 8.395 Å, 90.00 90.45 90.00°
Space group P2/m (No. 10)
Symmetry-distinct sites (fractional):
K (0.000, 0.000, 0.000) x1
Mg (0.000, 0.000, 0.500) x1
Mg (0.499, 0.500, 0.316) x2

Calculated values
**Density of states at the Fermi level**: 0.49 states/eV/atom
**ΔH_f (0 K)**: 0.155 eV/atom

[15]
Computed, not measured: a crystal of ZnHPt3 relaxed with PBEsol at the SCAN level of DFT.

Cell: 3.942 3.942 3.942 Å, 90.00 90.00 90.00°
Space group Pm-3m (No. 221)
Symmetry-distinct sites (fractional):
Zn (0.000, 0.000, 0.000) x1
H (0.500, 0.500, 0.500) x1
Pt (0.000, 0.500, 0.500) x3

Calculated values
**Density of states at the Fermi level**: 0.60 states/eV/atom
**VASP energy**: -45.68 eV per atom

[16]
Computed, not measured: a crystal of LiInAg2 relaxed with PBEsol at the SCAN level of DFT.

Cell: 2.9890 2.9890 27.8086 Å, 90.00 90.00 120.00°
Space group R-3m (No. 166, hexagonal axes)
Symmetry-distinct sites (fractional):
Li (0.0000, 0.0000, 0.0000) x3
In (0.0000, 0.0000, 0.5000) x3
Ag (0.0000, 0.0000, 0.2551) x6

Calculated values
**Density of states at the Fermi level**: 0.33 states/eV/atom
**ΔH_f (0 K)**: -0.036 eV/atom

[17]
Computed, not measured: a crystal of ScSe2Cl relaxed with PBEsol at the SCAN level of DFT.

Cell: 6.786 6.786 6.786 Å, 90.00 90.00 90.00°
Space group Fm-3m (No. 225)
Symmetry-distinct sites (fractional):
Sc (0.000, 0.000, 0.000) x4
Se (0.250, 0.250, 0.250) x8
Cl (0.000, 0.000, 0.500) x4

Calculated values
**Density of states at the Fermi level**: 1.43 states/eV/atom
**VASP energy**: -16.13 eV per atom

[18]
Computed, not measured: a crystal of TaPdN2F relaxed with PBEsol at the SCAN level of DFT.

Cell: 4.038 4.038 3.920 Å, 90.00 90.00 90.00°
Space group P4/mmm (No. 123)
Symmetry-distinct sites (fractional):
Ta (0.000, 0.000, 0.000) x1
Pd (0.500, 0.500, 0.500) x1
N (0.000, 0.500, 0.000) x2
F (0.000, 0.000, 0.500) x1

Calculated values
**Density of states at the Fermi level**: 0.52 states/eV/atom
**VASP energy**: -24.71 eV per atom

[19]
Computed, not measured: a crystal of MgScOs2 relaxed with PBEsol at the SCAN level of DFT.

Cell: 3.023 4.469 9.446 Å, 90.00 90.00 90.00°
Space group Imm2 (No. 44)
Symmetry-distinct sites (fractional):
Mg (0.000, 0.000, 0.000) x2
Sc (0.000, 0.500, 0.778) x2
Os (0.000, 0.000, 0.532) x2
Os (0.000, 0.500, 0.254) x2

Calculated values
**Density of states at the Fermi level**: 0.83 states/eV/atom
**ΔH_f (0 K)**: -0.169 eV/atom

[20]
Computed, not measured: a crystal of HfW3Au relaxed with PBEsol at the SCAN level of DFT.

Cell: 4.692 4.692 4.692 Å, 90.00 90.00 90.00°
Space group Pm-3m (No. 221)
Symmetry-distinct sites (fractional):
Hf (0.000, 0.000, 0.000) x1
W (0.000, 0.000, 0.500) x3
Au (0.500, 0.500, 0.500) x1

Calculated values
**Density of states at the Fermi level**: 0.87 states/eV/atom
**ΔH_f (0 K)**: 2.605 eV/atom